No. 1
A plane-wave DFT calculation with PBE-GGA was carried out for a geometry-optimized MnReSe structure.

Unit cell a=7.085 b=6.868 c=2.778 alpha=82.95 beta=74.15 gamma=22.90
Site moments in Bohr magnetons follow the coordinates.
Atoms (fractional coordinates):
Se 0.651 0.651 0.349  -0.02
Re 0.352 0.352 0.648  -0.34
Mn 0.996 0.996 0.004  2.72

Results
As for the energy relative to the elements, uncorrected: 527 meV/atom. Its excess energy over the best structure of this formula in the dataset is 204 meV per atom. As for the space group: No. 42. The density of states at the Fermi level comes out at 2.3 states/eV/cell. For the density, the calculation gives 11.19 g cm⁻³. For the calculated total energy, the calculation gives -7.8401 eV per atom.

No. 2
A plane-wave DFT calculation with PBE-GGA was carried out for a geometry-optimized LiGaAgSn structure.

Unit cell a=4.786 b=4.786 c=4.786 alpha=60.00 beta=60.00 gamma=60.00
Atoms (fractional coordinates):
Sn 0.250 0.250 0.250
Ga 0.750 0.750 0.750
Ag 0.500 0.500 0.500
Li 0.000 0.000 0.000

Results
Its excess energy over the best structure of this formula in the dataset is 49 meV per atom. As for the space group: No. 216. For the energy relative to the elements, the calculation gives -119.4 meV per atom. The density of states at the Fermi level comes out at 1.7 states/eV/cell. For the density, the calculation gives 6.50 g cm⁻³. For the calculated total energy, the calculation gives -3.0681 eV per atom.

No. 3
A plane-wave DFT calculation with PBE-GGA was carried out for a geometry-optimized LiNd2HfS5 structure.

Unit cell a=3.861 b=8.443 c=11.734 alpha=90.00 beta=90.00 gamma=103.22
Atoms (fractional coordinates):
Li 0.548 0.096 0.955
Li 0.452 0.904 0.455
S 0.644 0.288 0.502
S 0.356 0.712 0.002
S 0.716 0.433 0.163
S 0.284 0.567 0.663
S 0.054 0.107 0.059
S 0.946 0.893 0.559
S 0.310 0.619 0.363
S 0.495 0.990 0.775
S 0.505 0.010 0.275
S 0.690 0.381 0.863
Hf 0.198 0.395 0.014
Hf 0.802 0.605 0.514
Nd 0.131 0.261 0.305
Nd 0.108 0.216 0.688
Nd 0.892 0.784 0.188
Nd 0.869 0.739 0.805

Results
As for the energy relative to the elements, uncorrected: -1770 meV/atom. As for the space group: No. 36. The density of states at the Fermi level comes out at 2.8 states/eV/cell. For the density, the calculation gives 5.66 g cm⁻³. For the calculated total energy, the calculation gives -6.4410 eV per atom.

No. 4
A plane-wave DFT calculation with PBE-GGA was carried out for a geometry-optimized Ba4MgTc structure.

Unit cell a=7.199 b=7.199 c=7.199 alpha=60.00 beta=60.00 gamma=60.00
Site moments in Bohr magnetons follow the coordinates.
Atoms (fractional coordinates):
Mg 0.750 0.750 0.750  -0.01
Ba 0.877 0.374 0.374  -0.15
Ba 0.374 0.374 0.877  -0.15
Ba 0.374 0.374 0.374  -0.15
Ba 0.374 0.877 0.374  -0.15
Tc 0.000 0.000 0.000  3.11

Results
As for the space group: No. 216. For the energy relative to the elements, the calculation gives 1047.4 meV per atom. The density of states at the Fermi level comes out at 9.5 states/eV/cell. For the density, the calculation gives 4.23 g cm⁻³. For the calculated total energy, the calculation gives -2.2279 eV per atom.

No. 5
A plane-wave DFT calculation with PBE-GGA was carried out for a geometry-optimized Pr4YEr4 structure.

Unit cell a=5.090 b=8.071 c=8.071 alpha=84.29 beta=71.62 gamma=71.62
Atoms (fractional coordinates):
Pr 0.667 0.000 0.665
Pr 0.333 0.000 0.335
Pr 0.332 0.335 0.000
Pr 0.668 0.665 0.000
Er 0.000 0.336 0.664
Er 0.336 0.664 0.664
Er 0.000 0.664 0.336
Er 0.664 0.336 0.336
Y 0.000 0.000 0.000

Results
As for the space group: No. 139. For the energy relative to the elements, the calculation gives 21.7 meV per atom. The density of states at the Fermi level comes out at 13.3 states/eV/cell. For the density, the calculation gives 7.35 g cm⁻³. For the calculated total energy, the calculation gives -4.8487 eV per atom.

No. 6
A plane-wave DFT calculation with PBE-GGA was carried out for a geometry-optimized InHg2BSe structure.

Unit cell a=6.309 b=3.983 c=6.309 alpha=90.00 beta=90.00 gamma=90.00
Atoms (fractional coordinates):
Se 0.000 0.000 0.000
B 0.000 0.500 0.000
In 0.500 0.500 0.500
Hg 0.000 0.000 0.500
Hg 0.500 0.000 0.000

Results
As for the energy relative to the elements, uncorrected: 760 meV/atom. As for the space group: No. 123. The density of states at the Fermi level comes out at 2.1 states/eV/cell. For the density, the calculation gives 6.34 g cm⁻³. For the calculated total energy, the calculation gives -1.9409 eV per atom.